[1]
LaYSb2 after structural relaxation. Source: the Alexandria database, functional GGA-PBE.

a b c (Å): 4.476 4.476 8.066
angles (deg): 73.89 73.89 60.00
Element x y z (fractional)
Sb (0.247, 0.247, 0.259)
Sb (0.086, 0.086, 0.742)
Y (0.498, 0.498, 0.506)
La (0.669, 0.669, 0.993)

E above lowest polymorph   12.33 kJ per mole of atoms
DOS at the Fermi energy   0.39 states/eV/cell
Uncorrected formation energy   -1091 meV per atom
E_tot   -24.0 eV per cell
Volume   33.149 Å³/atom

=====

[2]
NpZnH6Rh3 after structural relaxation. Source: the Alexandria database, functional GGA-PBE.

a b c (Å): 4.784 4.784 4.784
angles (deg): 83.10 96.90 83.10
Element x y z (fractional)
H (0.066, 0.586, 0.703)
H (0.701, 0.584, 0.065)
H (0.414, 0.297, 0.066)
H (0.703, 0.934, 0.414)
H (0.416, 0.935, 0.701)
H (0.065, 0.299, 0.416)
Rh (0.503, 0.912, 0.087)
Rh (0.088, 0.913, 0.503)
Rh (0.087, 0.497, 0.088)
Zn (0.967, 0.033, 0.967)
Np (0.560, 0.440, 0.560)

DOS at the Fermi energy   14.80 states/eV/cell
E_tot   -57.7 eV per cell
Volume   9.715 Å³/atom